# 1
12
Lattice="3.947 0.000 0.000 -1.974 3.419 0.000 0.000 0.000 19.416" Properties=species:S:1:pos:R:3 comment="DyHoPS (PBE-GGA, optimized geometry)" sg="No. 160" n_ef_per_ev_fu=1.52 final_energy_ev_per_atom=-6.5472 pbc="T T T"
Dy 0.000 0.000 0.000
Dy 0.000 2.279 12.944
Dy 1.974 1.140 6.472
Ho 0.000 0.000 9.826
Ho 0.000 2.279 3.354
Ho 1.974 1.140 16.298
P 0.000 0.000 4.903
P 0.000 2.279 17.847
P 1.974 1.140 11.375
S 0.000 0.000 14.631
S 0.000 2.279 8.159
S 1.974 1.140 1.687

***

# 2
8
Lattice="6.818 0.000 0.000 0.000 3.941 0.000 -2.274 0.000 6.429" Properties=species:S:1:pos:R:3 comment="DyHo2ScP4 (PBE-GGA, optimized geometry)" sg="No. 10" n_ef_per_ev_fu=0.87 ef_ev_per_atom=-1.565 pbc="T T T"
Dy 0.000 0.000 0.000
Ho -1.137 1.971 3.215
Ho 2.272 0.000 3.215
Sc 3.409 1.971 0.000
P 1.180 1.971 1.584
P 0.043 0.000 4.877
P 4.501 0.000 1.552
P 3.363 1.971 4.845

***

# 3
8
Lattice="6.705 0.000 0.000 0.000 3.884 0.000 -2.248 0.000 6.336" Properties=species:S:1:pos:R:3 comment="DyHoSc2P4 (PBE-GGA, optimized geometry)" sg="No. 10" n_ef_per_ev_fu=0.96 ef_ev_per_atom=-1.539 pbc="T T T"
Dy 0.000 0.000 0.000
Ho -1.124 1.942 3.168
Sc 2.229 0.000 3.168
Sc 3.353 1.942 0.000
P 0.078 0.000 4.779
P 1.201 1.942 1.619
P 3.256 1.942 4.717
P 4.380 0.000 1.557

***

# 4
8
Lattice="6.826 0.000 0.000 0.000 3.947 0.000 -2.277 0.000 6.437" Properties=species:S:1:pos:R:3 comment="Dy2HoScP4 (PBE-GGA, optimized geometry)" sg="No. 10" n_ef_per_ev_fu=0.88 ef_ev_per_atom=-1.566 pbc="T T T"
Dy 0.000 0.000 0.000
Dy -1.139 1.973 3.218
Ho 2.274 0.000 3.218
Sc 3.413 1.973 0.000
P 1.185 1.973 1.583
P 0.047 0.000 4.888
P 4.502 0.000 1.549
P 3.364 1.973 4.853

***

# 5
12
Lattice="3.956 0.000 0.000 -1.978 3.426 0.000 0.000 0.000 20.854" Properties=species:S:1:pos:R:3 comment="DyHoPSe (PBE-GGA, optimized geometry)" sg="No. 160" n_ef_per_ev_fu=2.38 final_energy_ev_per_atom=-6.2338 pbc="T T T"
Dy 0.000 0.000 0.000
Dy 0.000 2.284 13.903
Dy 1.978 1.142 6.951
Ho 0.000 0.000 16.996
Ho 0.000 2.284 10.045
Ho 1.978 1.142 3.093
P 0.000 0.000 8.541
P 0.000 2.284 1.589
P 1.978 1.142 15.492
Se 0.000 0.000 4.990
Se 0.000 2.284 18.893
Se 1.978 1.142 11.942

***

# 6
12
Lattice="3.479 -6.026 0.000 3.479 6.026 0.000 -2.318 0.000 6.562" Properties=species:S:1:pos:R:3 comment="SmDy3Ho2P6 (PBE-GGA, optimized geometry)" sg="No. 12" n_ef_per_ev_fu=1.68 ef_ev_per_atom=-1.604 pbc="T T T"
Sm 0.000 0.000 0.000
Dy 2.321 4.026 3.281
Dy 2.321 0.000 3.281
Dy 2.321 -4.026 3.281
Ho 3.479 2.011 0.000
Ho 3.479 -2.011 0.000
P 1.174 2.032 1.649
P 0.029 0.000 4.915
P 1.174 -2.032 1.649
P 3.467 2.032 4.913
P 4.612 0.000 1.646
P 3.467 -2.032 4.913